Compound: RbTl3Au
Source: the Alexandria database
Functional: GGA-PBE
Structure: optimized geometry

The space group is C2/c (No. 15) and the conventional cell measures 17.6278, 10.6398 and 7.0094 Å, with angles of 90.00, 101.67 and 90.00 degrees. The asymmetric unit holds Rb at (0.0000, 0.0359, 0.2500), Rb at (0.0000, 0.3602, 0.7500), Tl at (0.1774, 0.1636, 0.0817), Tl at (0.1797, 0.1699, 0.5995), Tl at (0.1815, 0.4979, 0.5882) and Au at (0.0805, 0.3328, 0.2851).

Its calculated volume is 32.187 Å³ per atom. As for the excess energy over the best structure of this formula in the dataset: 0.05 eV/f.u.